No. 1
Ac5Pm2Nd2 PBE-GGA optimized geometry; space group = C2/m; calculated volume = 40.5 A^3/atom; final energy = -4.304 eV/atom
1.0
3.1427 8.7247 -1.4318
-3.1427 8.7247 -1.4318
0.0000 -0.6359 6.7574
Ac Pm Nd
5 2 2
direct
0.8759 0.8759 0.4158
0.6485 0.6485 0.2786
0.0000 0.0000 0.0000
0.1241 0.1241 0.5842
0.3515 0.3515 0.7214
0.5565 0.5565 0.7369
0.4435 0.4435 0.2631
0.2382 0.2382 0.1427
0.7618 0.7618 0.8573


No. 2
Ac4PmNd6 PBE-GGA optimized geometry; space group = I-42m; calculated volume = 39.8 A^3/atom; final energy = -4.280 eV/atom
1.0
7.7659 -2.6117 -5.3986
-5.2545 8.1513 1.4903
-1.6836 2.6117 9.3069
Ac Nd Pm
4 6 1
direct
0.6117 0.9858 0.9858
0.0000 0.6259 0.0142
0.3883 0.3741 0.3741
0.0000 0.0142 0.6259
0.6643 0.2299 0.2299
0.0000 0.4344 0.7701
0.0000 0.7701 0.4344
0.5000 0.0000 0.5000
0.5000 0.5000 0.0000
0.3357 0.5656 0.5656
0.0000 0.0000 0.0000


No. 3
Ac2Pm3Nd3 PBE-GGA optimized geometry; space group = Cmcm; calculated volume = 37.6 A^3/atom; final energy = -4.472 eV/atom
1.0
3.6926 0.0000 0.0000
-1.8463 9.0306 0.0000
0.0000 0.0000 18.0426
Pm Nd Ac
6 6 4
direct
0.3542 0.7085 0.2500
0.5910 0.1820 0.4978
0.4090 0.8180 0.5022
0.6458 0.2915 0.7500
0.5910 0.1820 0.0022
0.4090 0.8180 0.9978
0.9986 0.9972 0.1499
0.9986 0.9972 0.3501
0.3489 0.6978 0.7500
0.0014 0.0028 0.8501
0.0014 0.0028 0.6499
0.6511 0.3022 0.2500
0.2419 0.4838 0.0930
0.2419 0.4838 0.4071
0.7581 0.5162 0.9070
0.7581 0.5162 0.5930


- The highest final energy belongs to which entry?
  Ac4PmNd6